Entry 1:
Below is a geometry-optimized ZrZnNi structure, with properties calculated at the GGA-PBE level.

Structure (POSCAR):
```
ZrZnNi
1.0
4.354 0.000 0.000
2.177 3.770 0.000
2.177 1.257 3.555
Zn Ni Zr
1 1 1
Cartesian
4.354 2.514 1.777
0.000 0.000 0.000
2.177 1.257 0.889
```

Values from the calculation:
DOS at the Fermi energy: 3.0 states/eV per cell
ΔH_f (0 K): 335.6 meV/atom

=====

Entry 2:
Below is a geometry-optimized CrHg2Cl structure, with properties calculated at the GGA-PBE level.

Structure (POSCAR):
```
CrHg2Cl
1.0
-3.906 -0.178 4.573
-5.295 -2.250 -1.762
5.874 -0.930 0.913
Cl Cr Hg
1 1 2
Cartesian
-4.076 -1.075 1.245
-2.160 -2.236 0.323
-1.382 -1.178 3.466
-0.311 -0.082 0.095
```

Values from the calculation:
DOS at the Fermi energy: 2.6 states/eV per cell
distance to the lowest polymorph of the same formula: 1.72 kcal/mol of atoms
raw formation energy: -21 meV per atom